## Sr3CaTi4O12 (GGA-PBE)

Data for crystalline Sr3CaTi4O12 at its relaxed geometry.

Uncorrected formation energy in kJ per mole of atoms: -301.7
D(E_F) in states/eV/f.u.: 0.0

a b c (Å): 5.548 5.548 9.584
angles (deg): 106.46 106.46 60.49
Fractional coordinates of all 20 atoms:
Sr  0.000  0.000  0.000
Sr  0.247  0.253  0.750
Sr  0.747  0.753  0.250
Ca  0.510  0.490  0.500
Ti  0.134  0.119  0.376
Ti  0.380  0.369  0.127
Ti  0.631  0.620  0.873
Ti  0.881  0.866  0.624
O  0.057  0.943  0.500
O  0.193  0.306  0.251
O  0.224  0.749  0.761
O  0.251  0.776  0.239
O  0.477  0.004  0.011
O  0.498  0.047  0.489
O  0.531  0.469  0.000
O  0.694  0.807  0.749
O  0.722  0.252  0.266
O  0.748  0.278  0.734
O  0.953  0.502  0.511
O  0.996  0.523  0.989